1.
KBa2Eu, optimized geometry, DFT GGA-PBE; total energy = -3.66 eV/atom; DFT formation energy = 0.56 eV/f.u.; ρ = 3.2 g/cm3; polymorph energy (0 for the lowest one) = 54 meV/atom; total moment = 8.084 Bohr magnetons per cell
1.0
-4.5627 1.3494 5.1213
-6.8679 -0.3317 -1.2605
-3.8105 -5.1802 2.7409
Ba K Eu
2 1 1
Direct
0.7500 0.7500 0.7500
0.2500 0.2500 0.2500
0.5000 0.5000 0.5000
0.0000 0.0000 0.0000

---

2.
ScBeCuC, optimized geometry, DFT GGA-PBE; total energy = -6.01 eV/atom; DFT formation energy = -0.66 eV/f.u.; ρ = 4.4 g/cm3; total moment = 0.000 Bohr magnetons per cell
1.0
-2.0143 -2.5135 0.9937
-0.8338 -0.6010 -3.2103
6.5803 -5.5391 -0.6721
Cu C Sc Be
2 2 2 2
Direct
0.0000 0.0000 0.5000
0.5000 0.5000 0.5000
0.0000 0.5000 0.1300
0.5000 0.0000 0.8700
0.0000 0.5000 0.8678
0.5000 0.0000 0.1322
0.5000 0.0000 0.6805
0.0000 0.5000 0.3195

---

3.
Na3CuP, optimized geometry, DFT GGA-PBE; total energy = -2.42 eV/atom; DFT formation energy = 1.39 eV/f.u.; ρ = 1.7 g/cm3; polymorph energy (0 for the lowest one) = 0 meV/atom; total moment = 0.000 Bohr magnetons per cell
1.0
5.3765 0.0000 0.0000
0.0000 5.3765 0.0000
0.0000 0.0000 5.3765
P Na Cu
1 3 1
Direct
0.0000 0.0000 0.0000
0.0000 0.5000 0.0000
0.5000 0.0000 0.0000
0.0000 0.0000 0.5000
0.5000 0.5000 0.5000

---

4.
Fe2Ni2Rh3, optimized geometry, DFT GGA-PBE; total energy = -7.12 eV/atom; DFT formation energy = 0.70 eV/f.u.; ρ = 9.6 g/cm3; total moment = 9.254 Bohr magnetons per cell
1.0
3.9293 0.1640 -1.0797
-2.0645 3.5071 -0.2527
0.2170 -0.2779 6.5612
Ni Rh Fe
2 3 2
Direct
0.1830 0.5766 0.7597
0.8170 0.4234 0.2403
0.0000 0.0000 0.0000
0.7266 0.8496 0.5763
0.2734 0.1504 0.4237
0.4333 0.7328 0.1660
0.5667 0.2672 0.8340

---

5.
Dy5HfZn4, optimized geometry, DFT GGA-PBE; total energy = -4.04 eV/atom; DFT formation energy = -2.29 eV/f.u.; ρ = 8.9 g/cm3; total moment = 0.000 Bohr magnetons per cell
1.0
-2.7784 -1.0728 1.8199
-0.3486 -2.7329 -2.1431
11.4889 -10.4085 11.4045
Hf Dy Zn
1 5 4
Direct
0.0000 0.0000 0.0000
0.5000 0.5000 0.3108
0.5000 0.5000 0.5000
0.5000 0.5000 0.8839
0.5000 0.5000 0.6892
0.5000 0.5000 0.1161
0.0000 0.0000 0.4052
0.0000 0.0000 0.7852
0.0000 0.0000 0.5948
0.0000 0.0000 0.2148

---

6.
ScSiIr3, optimized geometry, DFT GGA-PBE; total energy = -8.25 eV/atom; ρ = 13.2 g/cm3; polymorph energy (0 for the lowest one) = 0 meV/atom; total moment = 0.000 Bohr magnetons per cell
1.0
6.0311 1.1659 -0.1050
-1.8696 5.8513 0.1050
-3.1952 -2.8477 4.4074
Ir Sc Si
6 2 2
Direct
0.5000 0.3039 0.3039
0.5000 0.6961 0.6961
0.0000 0.3039 0.8039
0.6879 0.9379 0.2500
0.0000 0.6961 0.1961
0.3121 0.0621 0.7500
0.0164 0.2664 0.2500
0.9836 0.7336 0.7500
0.5000 0.0000 0.5000
0.5000 0.5000 0.0000

---

7.
La4PmMg3, optimized geometry, DFT GGA-PBE; total energy = -3.73 eV/atom; DFT formation energy = -0.58 eV/f.u.; ρ = 4.9 g/cm3; total moment = 0.000 Bohr magnetons per cell
1.0
-0.1465 -0.7372 3.8259
-0.4792 -3.7961 -0.7498
16.9753 -2.1879 0.2283
Mg La Pm
3 4 1
Direct
0.5000 0.5000 0.2636
0.5000 0.5000 0.7364
0.5000 0.5000 0.5000
0.0000 0.0000 0.3828
0.0000 0.0000 0.1457
0.0000 0.0000 0.8543
0.0000 0.0000 0.6172
0.5000 0.5000 0.0000

---

8.
CsBiPb4, optimized geometry, DFT GGA-PBE; total energy = -3.21 eV/atom; DFT formation energy = 0.31 eV/f.u.; ρ = 9.0 g/cm3; polymorph energy (0 for the lowest one) = 64 meV/atom; total moment = 0.000 Bohr magnetons per cell
1.0
6.7290 0.0000 0.0000
3.3645 5.8275 0.0000
3.3645 1.9425 5.4942
Cs Pb Bi
1 4 1
Direct
0.2500 0.2500 0.2500
0.6257 0.6257 0.1228
0.6257 0.1228 0.6257
0.6257 0.6257 0.6257
0.1228 0.6257 0.6257
0.0000 0.0000 0.0000

---

9.
Ca2YMgIn, optimized geometry, DFT GGA-PBE; total energy = -2.10 eV/atom; DFT formation energy = 4.29 eV/f.u.; ρ = 2.4 g/cm3; total moment = 1.544 Bohr magnetons per cell
1.0
6.1742 0.0000 0.0000
0.0000 5.6855 0.0000
0.0000 0.0000 6.1742
In Ca Y Mg
1 2 1 1
Direct
0.5000 0.5000 0.5000
0.0000 0.0000 0.5000
0.5000 0.0000 0.0000
0.0000 0.0000 0.0000
0.0000 0.5000 0.0000

---

10.
LiLa2Sb4Rh3, optimized geometry, DFT GGA-PBE; total energy = -5.89 eV/atom; ρ = 8.0 g/cm3; total moment = 0.000 Bohr magnetons per cell
1.0
-4.5195 -0.0613 0.9224
0.9212 -0.6819 4.4684
0.1756 10.4120 1.5527
Rh La Sb Li
3 2 4 1
Direct
0.0000 0.0000 0.5000
0.0000 0.5000 0.1196
0.5000 0.0000 0.8804
0.0000 0.5000 0.7468
0.5000 0.0000 0.2532
0.5000 0.5000 0.0000
0.0000 0.0000 0.0000
0.5000 0.0000 0.6317
0.0000 0.5000 0.3683
0.5000 0.5000 0.5000

---

11.
TbEr4Cd4, optimized geometry, DFT GGA-PBE; total energy = -3.05 eV/atom; DFT formation energy = -0.94 eV/f.u.; ρ = 8.6 g/cm3; total moment = 0.000 Bohr magnetons per cell
1.0
5.5368 0.0000 0.0000
0.0000 9.4197 0.0000
0.0000 0.0000 9.4197
Cd Tb Er
8 2 8
Direct
0.5797 0.1052 0.7996
0.4203 0.7996 0.8948
0.9203 0.6052 0.2996
0.5797 0.8948 0.2004
0.9203 0.3948 0.7004
0.4203 0.2004 0.1052
0.0797 0.7004 0.6052
0.0797 0.2996 0.3948
0.5000 0.5000 0.5000
0.0000 0.0000 0.0000
0.5813 0.8479 0.5757
0.9187 0.6521 0.9243
0.4187 0.4243 0.8479
0.4187 0.5757 0.1521
0.0813 0.9243 0.3479
0.9187 0.3479 0.0757
0.5813 0.1521 0.4243
0.0813 0.0757 0.6521

---

12.
CsTcPd2, optimized geometry, DFT GGA-PBE; total energy = -4.30 eV/atom; DFT formation energy = 4.41 eV/f.u.; ρ = 8.5 g/cm3; total moment = 3.746 Bohr magnetons per cell
1.0
2.5577 -0.5170 4.2352
-2.1801 -2.0137 3.9922
1.3510 -4.5287 1.5527
Tc Pd Cs
1 2 1
Direct
0.0000 0.0000 0.0000
0.7500 0.7500 0.7500
0.2500 0.2500 0.2500
0.5000 0.5000 0.5000

---

13.
La2ZnCo, optimized geometry, DFT GGA-PBE; total energy = -4.65 eV/atom; DFT formation energy = -0.37 eV/f.u.; ρ = 6.1 g/cm3; total moment = 0.000 Bohr magnetons per cell
1.0
4.0933 0.0000 0.0000
2.0466 3.5449 0.0000
2.0466 1.1816 7.4890
Zn La Co
1 2 1
Direct
0.5016 0.5016 0.4951
0.0673 0.0673 0.7980
0.2670 0.2670 0.1991
0.6641 0.6641 0.0078